Record 1
LiV3O4F2: relaxed, GGA+U.

Unit cell a=4.897 b=8.675 c=10.287 alpha=90.00 beta=90.00 gamma=90.00
Fractional coordinates of all 40 atoms:
V  0.485  0.925  0.358
V  0.039  0.750  0.601
F  0.234  0.411  0.969
F  0.266  0.089  0.469
O  0.828  0.750  0.767
V  0.015  0.925  0.858
F  0.766  0.589  0.031
V  0.485  0.575  0.358
O  0.249  0.918  0.699
Li  0.541  0.250  0.220
F  0.234  0.089  0.969
Li  0.959  0.250  0.720
V  0.515  0.425  0.642
F  0.266  0.411  0.469
V  0.539  0.250  0.899
V  0.461  0.750  0.101
O  0.328  0.250  0.733
O  0.739  0.250  0.561
F  0.734  0.911  0.531
V  0.515  0.075  0.642
O  0.751  0.418  0.301
O  0.672  0.750  0.267
O  0.239  0.750  0.939
O  0.251  0.918  0.199
V  0.985  0.425  0.142
F  0.766  0.911  0.031
O  0.172  0.250  0.233
O  0.761  0.250  0.061
Li  0.459  0.750  0.780
V  0.985  0.075  0.142
O  0.251  0.582  0.199
V  0.015  0.575  0.858
O  0.261  0.750  0.439
O  0.749  0.418  0.801
Li  0.041  0.750  0.280
O  0.749  0.082  0.801
F  0.734  0.589  0.531
V  0.961  0.250  0.399
O  0.249  0.582  0.699
O  0.751  0.082  0.301

Output
Magnetic moment   6.00 μB per formula unit
Symmetry   Pnma (62)
Offset from the most stable computed form   0 meV/atom

---

Record 2
LiV2OF5: relaxed, GGA+U.

Unit cell a=4.724 b=4.724 c=9.332 alpha=88.96 beta=90.00 gamma=90.00
Fractional coordinates of all 18 atoms:
V  0.508  0.507  0.823
V  0.976  0.982  0.666
F  0.196  0.802  0.829
F  0.209  0.788  0.170
F  0.796  0.197  0.834
Li  0.997  0.014  0.005
V  0.524  0.482  0.166
F  0.704  0.697  0.334
F  0.187  0.811  0.495
O  0.698  0.704  0.678
F  0.692  0.695  0.000
F  0.808  0.195  0.500
F  0.313  0.311  0.995
O  0.802  0.204  0.178
F  0.291  0.288  0.670
Li  0.503  0.514  0.505
F  0.304  0.302  0.329
V  0.992  0.007  0.323

Output
Magnetic moment   4.00 μB per formula unit
Symmetry   Pc (7)
Offset from the most stable computed form   0 meV/atom

---

Record 3
LiV4OF11: relaxed, GGA+U.

Unit cell a=5.181 b=5.496 c=7.622 alpha=94.88 beta=90.06 gamma=90.61
Fractional coordinates of all 17 atoms:
F  0.118  0.987  0.745
F  0.384  0.501  0.740
F  0.292  0.794  0.066
F  0.691  0.809  0.554
Li  0.001  0.584  0.192
F  0.313  0.187  0.443
F  0.806  0.697  0.968
V  0.003  0.001  0.504
V  0.485  0.486  0.997
V  0.010  0.025  0.001
F  0.690  0.194  0.934
F  0.635  0.493  0.254
F  0.818  0.312  0.557
O  0.189  0.313  0.059
F  0.891  0.987  0.257
F  0.187  0.681  0.427
V  0.504  0.496  0.500

Output
Magnetic moment   8.00 μB per formula unit
Symmetry   P1 (1)
Offset from the most stable computed form   2 meV/atom

---

Record 4
LiV6O7F5: relaxed, GGA+U.

Unit cell a=5.670 b=5.680 c=7.534 alpha=71.84 beta=71.63 gamma=71.74
Fractional coordinates of all 19 atoms:
F  0.111  0.103  0.704
F  0.892  0.896  0.300
V  0.333  0.349  0.677
O  0.645  0.050  0.659
Li  0.569  0.057  0.434
O  0.226  0.227  0.966
O  0.957  0.354  0.335
O  0.369  0.951  0.335
O  0.782  0.779  0.027
V  0.696  0.697  0.829
V  0.016  0.996  0.502
F  0.693  0.310  0.000
F  0.570  0.585  0.635
V  0.002  0.006  0.000
V  0.300  0.322  0.173
F  0.308  0.702  0.995
V  0.652  0.635  0.308
O  0.041  0.644  0.666
O  0.427  0.411  0.369

Output
Magnetic moment   12.00 μB per formula unit
Symmetry   P1 (1)
Offset from the most stable computed form   41 meV/atom

---

Record 5
Li2VOF4: relaxed, GGA+U.

Unit cell a=3.702 b=10.173 c=5.338 alpha=89.99 beta=69.13 gamma=90.00
Fractional coordinates of all 16 atoms:
F  0.952  0.889  0.105
F  0.223  0.737  0.548
Li  0.192  0.250  0.629
Li  0.808  0.750  0.371
F  0.694  0.951  0.606
F  0.777  0.237  0.452
V  0.089  0.559  0.728
V  0.911  0.059  0.272
F  0.306  0.451  0.394
F  0.042  0.122  0.914
F  0.048  0.389  0.895
Li  0.867  0.424  0.273
Li  0.133  0.924  0.727
F  0.958  0.622  0.086
O  0.650  0.568  0.688
O  0.350  0.068  0.312

Output
Magnetic moment   1.00 μB per formula unit
Symmetry   P2_1 (4)
Offset from the most stable computed form   5 meV/atom

---

Record 6
LiV2OF5: relaxed, GGA+U.

Unit cell a=5.157 b=5.480 c=11.893 alpha=97.86 beta=102.55 gamma=90.68
Fractional coordinates of all 27 atoms:
V  0.521  0.488  0.001
Li  0.737  0.166  0.479
V  0.318  0.325  0.668
F  0.475  0.574  0.167
Li  0.412  0.005  0.854
F  0.942  0.439  0.285
F  0.105  0.264  0.498
F  0.769  0.917  0.835
O  0.709  0.205  0.038
F  0.185  0.266  0.952
V  0.183  0.178  0.335
F  0.616  0.122  0.618
Li  0.605  0.174  0.187
V  0.653  0.651  0.336
F  0.368  0.879  0.376
F  0.855  0.788  0.495
F  0.848  0.709  0.045
F  0.230  0.085  0.168
O  0.505  0.363  0.370
V  0.846  0.844  0.671
F  0.515  0.616  0.630
F  0.537  0.404  0.834
V  0.986  0.009  0.003
F  0.824  0.966  0.293
F  0.043  0.552  0.709
F  0.298  0.791  0.958
O  0.156  0.051  0.707

Output
Magnetic moment   4.00 μB per formula unit
Symmetry   P1 (1)
Offset from the most stable computed form   26 meV/atom

---

Record 7
Li7VO4F2: relaxed, GGA+U.

Unit cell a=5.888 b=6.065 c=10.097 alpha=111.78 beta=81.23 gamma=124.18
Fractional coordinates of all 28 atoms:
O  0.209  0.757  0.293
Li  0.958  0.755  0.461
F  0.807  0.211  0.732
Li  0.021  0.208  0.570
Li  0.389  0.908  0.710
Li  0.025  0.538  0.887
O  0.247  0.246  0.222
Li  0.497  0.795  0.950
F  0.743  0.105  0.121
Li  0.548  0.474  0.637
Li  0.457  0.104  0.228
V  0.055  0.017  0.021
Li  0.985  0.487  0.109
F  0.750  0.755  0.816
O  0.688  0.368  0.431
O  0.827  0.655  0.059
O  0.208  0.385  0.969
F  0.316  0.562  0.574
O  0.261  0.065  0.612
V  0.491  0.005  0.453
Li  0.981  0.894  0.259
O  0.752  0.897  0.415
Li  0.527  0.345  0.921
O  0.305  0.932  0.903
Li  0.453  0.583  0.164
Li  0.036  0.090  0.775
Li  0.989  0.355  0.310
Li  0.478  0.503  0.398

Output
Magnetic moment   2.00 μB per formula unit
E   -5.319 eV per atom
Symmetry   P1 (1)

---

Record 8
Li5VO3F2: relaxed, GGA+U.

Unit cell a=3.924 b=5.377 c=6.072 alpha=111.54 beta=90.00 gamma=111.40
Fractional coordinates of all 11 atoms:
O  0.826  0.651  0.690
Li  0.689  0.378  0.345
Li  0.679  0.358  0.848
F  0.847  0.695  0.203
O  0.133  0.267  0.822
Li  0.962  0.925  0.540
O  0.497  0.994  0.066
F  0.191  0.383  0.327
Li  0.314  0.628  0.126
V  0.997  0.994  0.992
Li  0.281  0.562  0.685

Output
Magnetic moment   2.00 μB per formula unit
Symmetry   Cm (8)
Offset from the most stable computed form   7 meV/atom

---

Record 9
LiV6O7F5: relaxed, GGA+U.

Unit cell a=5.659 b=5.742 c=7.490 alpha=70.87 beta=71.83 gamma=72.31
Fractional coordinates of all 19 atoms:
Li  0.976  0.471  0.532
F  0.909  0.875  0.303
V  0.013  0.971  0.998
V  0.999  0.018  0.487
F  0.382  0.448  0.387
F  0.054  0.639  0.672
O  0.355  0.979  0.341
V  0.298  0.322  0.157
O  0.606  0.560  0.630
V  0.647  0.682  0.845
V  0.395  0.313  0.693
F  0.100  0.129  0.690
O  0.657  0.025  0.667
O  0.937  0.365  0.332
F  0.695  0.290  0.008
O  0.226  0.214  0.966
O  0.758  0.771  0.038
V  0.636  0.680  0.325
O  0.298  0.681  0.001

Output
Magnetic moment   12.00 μB per formula unit
Symmetry   P1 (1)
Offset from the most stable computed form   40 meV/atom

---

Record 10
Li4VO3F2: relaxed, GGA+U.

Unit cell a=5.128 b=5.077 c=7.826 alpha=110.31 beta=101.74 gamma=99.61
Fractional coordinates of all 20 atoms:
Li  0.696  0.900  0.945
O  0.269  0.503  0.301
V  0.445  0.303  0.852
O  0.731  0.497  0.799
Li  0.907  0.303  0.335
F  0.947  0.902  0.203
O  0.569  0.067  0.383
Li  0.500  0.500  0.550
Li  0.304  0.099  0.155
Li  0.205  0.891  0.453
F  0.838  0.697  0.492
O  0.352  0.668  0.002
Li  0.093  0.697  0.765
Li  0.000  0.500  0.050
F  0.053  0.098  0.897
F  0.162  0.303  0.608
Li  0.795  0.109  0.647
O  0.648  0.332  0.098
O  0.431  0.933  0.717
V  0.555  0.697  0.248

Output
Magnetic moment   1.00 μB per formula unit
Symmetry   P-1 (2)
Offset from the most stable computed form   0 meV/atom

---

Record 11
LiV6O7F5: relaxed, GGA+U.

Unit cell a=5.664 b=5.741 c=7.677 alpha=69.44 beta=70.28 gamma=70.39
Fractional coordinates of all 19 atoms:
Li  0.630  0.141  0.371
V  0.283  0.324  0.147
O  0.760  0.779  0.038
O  0.312  0.674  0.993
V  0.662  0.665  0.320
F  0.577  0.568  0.629
F  0.092  0.113  0.705
V  0.020  0.966  0.999
O  0.928  0.342  0.330
F  0.922  0.870  0.302
O  0.382  0.991  0.343
F  0.396  0.459  0.377
V  0.675  0.689  0.844
F  0.701  0.289  0.021
O  0.034  0.640  0.680
V  0.330  0.338  0.688
O  0.227  0.206  0.965
V  0.019  0.990  0.511
O  0.634  0.046  0.646

Output
Magnetic moment   12.00 μB per formula unit
Symmetry   P1 (1)
Offset from the most stable computed form   30 meV/atom

---

Record 12
Li2VOF3: relaxed, GGA+U.

Unit cell a=5.009 b=5.174 c=11.561 alpha=90.00 beta=90.00 gamma=90.00
Fractional coordinates of all 28 atoms:
Li  0.000  0.500  0.347
F  0.284  0.823  0.311
Li  0.500  0.500  0.847
F  0.221  0.331  0.199
F  0.224  0.339  0.939
Li  0.000  0.000  0.631
F  0.216  0.823  0.811
Li  0.000  0.500  0.782
F  0.784  0.177  0.811
F  0.276  0.339  0.439
V  0.000  0.000  0.943
F  0.779  0.669  0.199
Li  0.000  0.000  0.205
O  0.799  0.179  0.061
O  0.701  0.179  0.561
F  0.716  0.177  0.311
V  0.000  0.500  0.072
O  0.201  0.821  0.061
Li  0.500  0.000  0.705
Li  0.500  0.500  0.282
F  0.724  0.661  0.439
Li  0.500  0.000  0.131
V  0.500  0.000  0.443
F  0.721  0.669  0.699
V  0.500  0.500  0.572
O  0.299  0.821  0.561
F  0.279  0.331  0.699
F  0.776  0.661  0.939

Output
Magnetic moment   2.00 μB per formula unit
Symmetry   Pnc2 (30)
Offset from the most stable computed form   45 meV/atom

---

Record 13
LiVOF4: relaxed, GGA+U.

Unit cell a=5.205 b=7.687 c=10.029 alpha=111.67 beta=90.65 gamma=90.88
Fractional coordinates of all 28 atoms:
O  0.807  0.369  0.423
F  0.409  0.043  0.675
Li  0.508  0.135  0.885
F  0.701  0.950  0.337
F  0.232  0.614  0.572
F  0.113  0.478  0.835
O  0.810  0.747  0.002
V  0.576  0.944  0.505
F  0.819  0.967  0.835
F  0.363  0.248  0.482
F  0.679  0.376  0.915
F  0.622  0.539  0.678
F  0.258  0.881  0.411
F  0.834  0.548  0.177
Li  0.156  0.626  0.285
F  0.841  0.105  0.585
F  0.258  0.887  0.912
F  0.107  0.051  0.181
V  0.000  0.052  0.007
O  0.141  0.239  0.001
O  0.669  0.739  0.501
F  0.239  0.634  0.097
V  0.534  0.463  0.486
V  0.928  0.554  0.001
Li  0.291  0.645  0.765
F  0.690  0.139  0.081
Li  0.025  0.123  0.386
F  0.381  0.456  0.318

Output
Magnetic moment   0.02 μB per formula unit
Symmetry   P1 (1)
Offset from the most stable computed form   0 meV/atom

---

Record 14
Li4V4O3F9: relaxed, GGA+U.

Unit cell a=5.089 b=5.686 c=10.156 alpha=103.30 beta=86.47 gamma=114.41
Fractional coordinates of all 20 atoms:
V  0.429  0.557  0.994
V  0.857  0.726  0.230
F  0.351  0.830  0.921
F  0.153  0.614  0.152
F  0.033  0.225  0.913
V  0.273  0.045  0.545
F  0.206  0.386  0.630
F  0.080  0.062  0.375
F  0.541  0.371  0.120
O  0.651  0.272  0.570
Li  0.576  0.601  0.557
Li  0.993  0.853  0.923
O  0.754  0.869  0.105
F  0.749  0.552  0.380
F  0.307  0.711  0.470
O  0.670  0.482  0.862
V  0.831  0.271  0.740
Li  0.969  0.378  0.448
F  0.894  0.915  0.648
Li  0.684  0.126  0.032

Output
Magnetic moment   9.00 μB per formula unit
Symmetry   P1 (1)
Offset from the most stable computed form   90 meV/atom